A relaxed structure of Li3Fe3P4O16, computed with GGA+U.

**Distance to the lowest polymorph of the same formula**: 58 meV/atom
**Total DFT energy (no corrections)**: -6.79 eV per atom

Cell lengths 4.976, 8.213, 14.482 Å; angles 98.63, 90.00, 90.00 degrees
Atoms (fractional coordinates):
Li 0.506 0.821 0.122
Li 0.494 0.179 0.878
Li 0.994 0.321 0.622
Li 0.500 0.500 0.500
Li 0.006 0.679 0.378
Li 0.000 0.000 0.000
Fe 0.549 0.522 0.705
Fe 0.000 0.000 0.500
Fe 0.049 0.978 0.795
Fe 0.951 0.022 0.205
Fe 0.451 0.478 0.295
Fe 0.500 0.500 0.000
P 0.528 0.877 0.351
P 0.488 0.189 0.108
P 0.988 0.311 0.392
P 0.012 0.689 0.608
P 0.512 0.811 0.892
P 0.472 0.123 0.649
P 0.028 0.623 0.149
P 0.972 0.377 0.851
O 0.052 0.193 0.302
O 0.467 0.731 0.981
O 0.276 0.393 0.868
O 0.381 0.071 0.744
O 0.818 0.486 0.929
O 0.890 0.190 0.848
O 0.110 0.810 0.152
O 0.182 0.514 0.071
O 0.619 0.929 0.256
O 0.724 0.607 0.132
O 0.533 0.269 0.019
O 0.224 0.893 0.368
O 0.119 0.571 0.244
O 0.682 0.986 0.429
O 0.204 0.115 0.110
O 0.610 0.690 0.348
O 0.881 0.429 0.756
O 0.695 0.042 0.100
O 0.195 0.458 0.400
O 0.967 0.769 0.519
O 0.552 0.307 0.198
O 0.704 0.385 0.390
O 0.296 0.615 0.610
O 0.948 0.807 0.698
O 0.033 0.231 0.481
O 0.805 0.542 0.600
O 0.305 0.958 0.900
O 0.448 0.693 0.802
O 0.390 0.310 0.652
O 0.796 0.885 0.890
O 0.318 0.014 0.571
O 0.776 0.107 0.632